No. 1
This record from the Alexandria database describes a relaxed structure of Cd6SnHg4. The functional is PBE.

Structure (CIF):
```
data_Cd6SnHg4
_cell_length_a 8.705
_cell_length_b 8.705
_cell_length_c 8.705
_cell_angle_alpha 60.63
_cell_angle_beta 138.18
_cell_angle_gamma 138.18
_space_group_name_H-M_alt 'P 1'
_space_group_IT_number 1
loop_
_space_group_symop_operation_xyz
'x,y,z'
loop_
_atom_site_label
_atom_site_fract_x
_atom_site_fract_y
_atom_site_fract_z
_atom_site_occupancy
Sn1 0.000 0.000 0.000 1
Hg1 0.000 0.131 0.572 1
Hg2 0.558 0.428 0.428 1
Cd1 0.000 0.920 0.396 1
Cd2 0.000 0.396 0.920 1
Cd3 0.500 0.000 0.500 1
Hg3 0.442 0.869 0.869 1
Cd4 0.500 0.500 0.000 1
Cd5 0.523 0.604 0.604 1
Cd6 0.477 0.080 0.080 1
Hg4 0.000 0.572 0.131 1
```

Calculated values
Magnetization (μB per formula unit): 0.0
Fermi-level density of states (states/eV/cell): 3.855
ΔH_f (0 K) (kJ/mol of atoms): 6.1


No. 2
This record from the Alexandria database describes a relaxed structure of NdEr2TmTl4. The functional is PBE.

Structure (CIF):
```
data_NdEr2TmTl4
_cell_length_a 5.371
_cell_length_b 5.371
_cell_length_c 9.350
_cell_angle_alpha 73.31
_cell_angle_beta 73.31
_cell_angle_gamma 60.00
_space_group_name_H-M_alt 'P 1'
_space_group_IT_number 1
loop_
_space_group_symop_operation_xyz
'x,y,z'
loop_
_atom_site_label
_atom_site_fract_x
_atom_site_fract_y
_atom_site_fract_z
_atom_site_occupancy
Er1 0.249 0.249 0.253 1
Tl1 0.127 0.127 0.619 1
Tl2 0.377 0.377 0.868 1
Tl3 0.623 0.623 0.132 1
Er2 0.751 0.751 0.747 1
Tm1 0.500 0.500 0.500 1
Nd1 0.000 0.000 0.000 1
Tl4 0.873 0.873 0.381 1
```

Calculated values
Magnetization (μB per formula unit): 0.0
Fermi-level density of states (states/eV/cell): 6.145
ΔH_f (0 K) (kJ/mol of atoms): -31.1


Question: Look up the ΔH_f (0 K) of the second one.
Answer: -31.1 kJ/mol of atoms


Question: Which value of magnetization does entry 2 give?
Answer: 0.0 μB per formula unit


Question: Which value of magnetization does entry 1 give?
Answer: 0.0 μB per formula unit